(1)
Density functional theory data (GGA-PBE) for a geometry-optimized ScSbAsI2 structure.

The calculation puts the excess energy over the best structure of this formula in the dataset at 0.0 meV/atom. The value obtained for the uncorrected formation energy is 79 meV/atom.

Geometry as POSCAR:
```
ScSbAsI2
1.0
-1.5241 0.5570 -5.2628
4.3424 -2.9988 -1.5749
-3.3479 -5.0751 0.4324
Sb I Sc As
1 2 1 1
Cartesian
-1.6739 -2.5375 0.2162 Sb
2.1712 -1.4994 -0.7875 I
-0.7620 0.2785 -2.6314 I
0.0000 0.0000 0.0000 Sc
-0.2648 -3.7584 -3.2026 As
```



(2)
Density functional theory data (GGA-PBE) for a geometry-optimized Ta2OsAu structure.

Its formation energy is 0.13 eV/atom. The calculation puts the excess energy over the best structure of this formula in the dataset at 271.3 meV/atom.

Geometry as POSCAR:
```
Ta2OsAu
1.0
-1.8329 1.9043 -1.0029
-0.5660 -2.5325 -1.1218
-5.6657 -1.8035 6.9302
Ta Au Os
2 1 1
Cartesian
-2.5956 -0.7585 0.6454 Ta
-5.6073 -1.7849 6.8588 Ta
-2.8336 -0.9020 3.4660 Au
-5.5268 -1.6915 4.2307 Os
```



Question: Look up the excess energy over the best structure of this formula in the dataset of the second one.
Answer: 271.3 meV/atom